Entry from the Alexandria database: a relaxed Ga2Pd2Pt3 crystal (PBE).

Lattice parameters (Å, degrees): 8.723 3.924 6.602 90.00 105.82 90.00
Atoms (fractional coordinates):
Ga1 0.186 0.000 0.185
Ga2 0.314 0.500 0.815
Ga3 0.686 0.500 0.185
Ga4 0.814 0.000 0.815
Pd1 0.112 0.000 0.760
Pd2 0.388 0.500 0.240
Pd3 0.612 0.500 0.760
Pd4 0.888 0.000 0.240
Pt1 0.000 0.500 0.000
Pt2 0.129 0.500 0.432
Pt3 0.371 0.000 0.568
Pt4 0.500 0.000 0.000
Pt5 0.629 0.000 0.432
Pt6 0.871 0.500 0.568

Calculated total energy, eV/atom: -5.3956
Density of states at the Fermi level, states/eV per atom: 0.566
ΔE to the lowest computed polymorph, eV/atom: 0.000
Energy of formation, meV/atom: -458